# 1
Computed, not measured: RbLaMo3 after structural relaxation at the PBE level of DFT.

Cell and atoms, written as POSCAR:
```
RbLaMo3
1.0
-2.5082 1.3024 -3.9868
-1.4934 -4.6182 -0.5691
-3.9193 0.9262 2.7683
Mo Rb La
3 1 1
Direct
0.5000 0.0000 0.0000
0.0000 0.0000 0.5000
0.0000 0.5000 0.0000
0.0000 0.0000 0.0000
0.5000 0.5000 0.5000
```

Calculated values
V in Å³/cell: 117
SG: Pm-3m, No. 221
E above lowest polymorph in eV/atom: 0.303
Formation energy from the elements in eV/atom: 2.721

***

# 2
Computed, not measured: RbLaMo3 after structural relaxation at the PBE level of DFT.

Cell and atoms, written as POSCAR:
```
RbLaMo3
1.0
5.0207 0.0000 0.0000
0.0000 5.0207 0.0000
0.0000 0.0000 5.0207
Mo La Rb
3 1 1
Direct
0.0000 0.5000 0.0000
0.5000 0.0000 0.0000
0.0000 0.0000 0.5000
0.0000 0.0000 0.0000
0.5000 0.5000 0.5000
```

Calculated values
V in Å³/cell: 127
SG: Pm-3m, No. 221
E above lowest polymorph in eV/atom: 0.000
Formation energy from the elements in eV/atom: 2.418

***

# 3
Computed, not measured: RbLaMo2 after structural relaxation at the PBE level of DFT.

Cell and atoms, written as POSCAR:
```
RbLaMo2
1.0
-2.9546 1.9762 -3.0164
2.6801 -1.4057 -3.5461
-5.7153 -8.9199 -3.8483
Mo La Rb
4 2 2
Direct
0.3750 0.0325 0.7500
0.8750 0.2175 0.7500
0.7825 0.6250 0.2500
0.9675 0.1250 0.2500
0.7500 0.2500 0.5000
0.0000 0.0000 0.0000
0.5000 0.5000 0.0000
0.2500 0.7500 0.5000
```

Calculated values
V in Å³/cell: 234
SG: I-42d, No. 122
E above lowest polymorph in eV/atom: 0.000
Formation energy from the elements in eV/atom: 1.569

***

# 4
Computed, not measured: RbLa2Mo after structural relaxation at the PBE level of DFT.

Cell and atoms, written as POSCAR:
```
RbLa2Mo
1.0
0.0000 3.8783 3.8783
3.8783 0.0000 3.8783
3.8783 3.8783 0.0000
La Rb Mo
2 1 1
Direct
0.2500 0.2500 0.2500
0.7500 0.7500 0.7500
0.0000 0.0000 0.0000
0.5000 0.5000 0.5000
```

Calculated values
V in Å³/cell: 117
SG: Fm-3m, No. 225
E above lowest polymorph in eV/atom: 0.313
Formation energy from the elements in eV/atom: 0.915